[1]
Compound: TaAsPtBr2
Source: the Alexandria database
Functional: PBE
Structure: relaxed

The structure in extended XYZ format:
```
5
Lattice="-1.7677 -4.6932 -0.0752 3.0412 -1.2064 3.8016 -3.5403 1.2815 3.2388" Properties=species:S:1:pos:R:3 pbc="T T T"
Br -0.8839 -2.3466 -0.0376
Br 1.5206 -0.6032 1.9008
Pt 0.0000 0.0000 0.0000
Ta -1.1334 -2.3091 3.4826
As -1.7701 0.6408 1.6194
```

Results
As for the space group: No. 123. For the polymorph energy (0 for the lowest one), the calculation gives 1.96 eV per formula unit. The value obtained for the total energy is -4.10 eV/atom. The value obtained for the density is 8.12 g/cm3. The spin magnetization comes out at 2.1 μB/f.u. Its formation energy without anion corrections is 1080 meV/atom.

=====

[2]
Compound: ScTl2H
Source: the Alexandria database
Functional: PBE
Structure: relaxed

The structure in extended XYZ format:
```
4
Lattice="0.0000 3.4936 3.4936 3.4936 0.0000 3.4936 3.4936 3.4936 0.0000" Properties=species:S:1:pos:R:3 pbc="T T T"
Tl 1.7468 1.7468 1.7468
Tl 5.2404 5.2404 5.2404
Sc 3.4936 3.4936 3.4936
H 0.0000 0.0000 0.0000
```

Results
As for the space group: No. 225. The value obtained for the total energy is -3.16 eV/atom. The value obtained for the density is 8.85 g/cm3. The spin magnetization comes out at 0.0 μB/f.u.

=====

[3]
Compound: CaCdPb
Source: the Alexandria database
Functional: PBE
Structure: relaxed

The structure in extended XYZ format:
```
6
Lattice="6.3146 -0.0165 -0.1381 1.8111 6.0490 -0.1383 2.1923 1.6275 4.4742" Properties=species:S:1:pos:R:3 pbc="T T T"
Ca 6.9800 6.1542 1.2264
Ca 2.5408 2.8589 1.6384
Pb 5.7845 3.2122 -0.1498
Pb 5.7024 3.1514 3.0150
Cd 3.9915 5.8670 2.8504
Cd 3.6815 5.6353 0.0180
```

Results
As for the space group: No. 5. The value obtained for the total energy is -2.53 eV/atom. The value obtained for the density is 6.87 g/cm3. The spin magnetization comes out at 0.0 μB/f.u.